Compound: Pm3ErPt3
Source: the Alexandria database
Functional: PBE
Structure: optimized geometry

Results
ΔH_f (0 K)	-0.953	eV per atom

a = 7.0913 Å, b = 7.0913 Å, c = 7.2319 Å
α = 90.73°, β = 90.73°, γ = 97.42°
With the nearest neighbours (Å) after each atom.
Fractional positions:
1 Pm 0.6646 0.6646 0.3793  3 Pt 2.93-3.09
2 Pm 0.1753 0.8247 0.5000  6 Pt 2.88-2.97
3 Pm 0.8247 0.1753 0.5000  6 Pt 2.88-2.97
4 Pm 0.2516 0.7484 0.0000  6 Pt 3.07-3.17
5 Pm 0.7484 0.2516 0.0000  6 Pt 3.07-3.17
6 Pm 0.3354 0.3354 0.6207  3 Pt 2.93-3.09
7 Er 0.7492 0.7492 0.8808  4 Pt 2.74-2.97
8 Er 0.2508 0.2508 0.1192  4 Pt 2.74-2.97
9 Pt 0.9390 0.9390 0.1899  2 Er 2.83-2.97, 5 Pm 2.93-3.07, 1 Pt 2.99
10 Pt 0.9702 0.5087 0.7145  1 Er 2.74, 2 Pm 2.88-2.97
11 Pt 0.5087 0.9702 0.7145  1 Er 2.74, 2 Pm 2.88-2.97
12 Pt 0.0298 0.4913 0.2855  1 Er 2.74, 2 Pm 2.88-2.97
13 Pt 0.4913 0.0298 0.2855  1 Er 2.74, 2 Pm 2.88-2.97
14 Pt 0.0610 0.0610 0.8101  2 Er 2.83-2.97, 5 Pm 2.93-3.07, 1 Pt 2.99